1.
The following is a DFT calculation (PBE) of LiAlSn after structural relaxation.

The total energy is -0.247 Ry/atom.

It has space group Cm (No. 8), with a = 9.3864 Å, b = 4.2678 Å, c = 6.2040 Å, α = 90.00°, β = 106.39° and γ = 90.00°. Symmetry generates all atoms from Li at (0.0000, 0.0000, 0.0000), Li at (0.1720, 0.5000, 0.3298), Al at (0.3265, 0.0000, 0.6495), Al at (0.4965, 0.5000, 0.5042), Sn at (0.1606, 0.5000, 0.8124) and Sn at (0.3471, 0.0000, 0.1863).


2.
The following is a DFT calculation (PBE) of LiAlSn after structural relaxation.

The total energy is -0.247 Ry/atom.

It has space group P4/nmm (No. 129, origin choice 2), with a = 4.2671 Å, b = 4.2671 Å, c = 7.1231 Å, α = 90.00°, β = 90.00° and γ = 90.00°. Symmetry generates all atoms from Li at (0.2500, 0.2500, 0.1657), Al at (0.2500, 0.7500, 0.5000) and Sn at (0.2500, 0.2500, 0.7638).


3.
The following is a DFT calculation (PBE) of LiAlSn after structural relaxation.

The total energy is -0.245 Ry/atom.

It has space group P4/nmm (No. 129, origin choice 2), with a = 4.2190 Å, b = 4.2190 Å, c = 6.7778 Å, α = 90.00°, β = 90.00° and γ = 90.00°. Symmetry generates all atoms from Li at (0.2500, 0.7500, 0.0000), Al at (0.2500, 0.2500, 0.3007) and Sn at (0.2500, 0.2500, 0.7096).


4.
The following is a DFT calculation (PBE) of LiAlSn after structural relaxation.

The total energy is -0.245 Ry/atom.

It has space group C2/m (No. 12), with a = 18.1944 Å, b = 3.2151 Å, c = 4.5690 Å, α = 90.00°, β = 104.49° and γ = 90.00°. Symmetry generates all atoms from Li at (0.0458, 0.0000, 0.2954), Al at (0.1903, 0.5000, 0.4389) and Sn at (0.1008, 0.5000, 0.8498).


5.
The following is a DFT calculation (PBE) of Li3AlSn3 after structural relaxation.

The total energy is -0.239 Ry/atom.

It has space group C2/m (No. 12), with a = 8.4337 Å, b = 13.1585 Å, c = 6.6126 Å, α = 90.00°, β = 119.47° and γ = 90.00°. Symmetry generates all atoms from Li at (0.0000, 0.1332, 0.0000), Li at (0.0000, 0.3137, 0.5000), Li at (0.0729, 0.5000, 0.8466), Al at (0.1135, 0.0000, 0.7390), Sn at (0.1925, 0.3256, 0.2006) and Sn at (0.2486, 0.5000, 0.5803).


6.
The following is a DFT calculation (PBE) of LiAlSn after structural relaxation.

The total energy is -0.243 Ry/atom.

It has space group P2/m (No. 10), with a = 3.1037 Å, b = 5.8921 Å, c = 6.6946 Å, α = 90.00°, β = 101.19° and γ = 90.00°. Symmetry generates all atoms from Li at (0.0000, 0.2294, 0.0000), Al at (0.3356, 0.0000, 0.6743) and Sn at (0.3795, 0.5000, 0.7102).


7.
The following is a DFT calculation (PBE) of LiAlSn after structural relaxation.

The total energy is -0.250 Ry/atom.

It has space group P6_3mc (No. 186), with a = 4.5406 Å, b = 4.5406 Å, c = 7.2844 Å, α = 90.00°, β = 90.00° and γ = 120.00°. Symmetry generates all atoms from Li at (0.0000, 0.0000, 0.0000), Al at (0.3333, 0.6667, 0.3111) and Sn at (0.3333, 0.6667, 0.6974).


8.
The following is a DFT calculation (PBE) of Li8AlSn2 after structural relaxation.

The total energy is -0.199 Ry/atom.

It has space group C2/m (No. 12), with a = 13.6494 Å, b = 4.6070 Å, c = 7.1188 Å, α = 90.00°, β = 119.09° and γ = 90.00°. Symmetry generates all atoms from Li at (0.0296, 0.0000, 0.2276), Li at (0.1000, 0.5000, 0.9418), Li at (0.1415, 0.0000, 0.6915), Li at (0.1710, 0.5000, 0.3894), Al at (0.0000, 0.5000, 0.5000) and Sn at (0.2178, 0.0000, 0.1611).


9.
The following is a DFT calculation (PBE) of LiAlSn after structural relaxation.

The total energy is -0.245 Ry/atom.

It has space group Imm2 (No. 44), with a = 4.5136 Å, b = 13.8716 Å, c = 6.6095 Å, α = 90.00°, β = 90.00° and γ = 90.00°. Symmetry generates all atoms from Li at (0.0000, 0.0000, 0.0000), Li at (0.0000, 0.3358, 0.4876), Al at (0.0000, 0.0000, 0.4763), Al at (0.0000, 0.3283, 0.9886), Sn at (0.0000, 0.1691, 0.2468) and Sn at (0.0000, 0.5000, 0.2220).


10.
The following is a DFT calculation (PBE) of LiAlSn after structural relaxation.

The total energy is -0.243 Ry/atom.

It has space group P-6m2 (No. 187), with a = 4.8266 Å, b = 4.8266 Å, c = 3.1340 Å, α = 90.00°, β = 90.00° and γ = 120.00°. Symmetry generates all atoms from Li at (0.0000, 0.0000, 0.0000), Al at (0.3333, 0.6667, 0.5000) and Sn at (0.6667, 0.3333, 0.5000).


11.
The following is a DFT calculation (PBE) of Li8Al2Sn after structural relaxation.

The total energy is -0.185 Ry/atom.

It has space group C2/m (No. 12), with a = 7.4089 Å, b = 13.7679 Å, c = 4.7190 Å, α = 90.00°, β = 127.20° and γ = 90.00°. Symmetry generates all atoms from Li at (0.0000, 0.2064, 0.0000), Li at (0.0600, 0.5000, 0.7869), Li at (0.2245, 0.1290, 0.7067), Al at (0.0000, 0.3154, 0.5000) and Sn at (0.0000, 0.0000, 0.0000).


12.
The following is a DFT calculation (PBE) of LiAlSn after structural relaxation.

The total energy is -0.244 Ry/atom.

It has space group C2/c (No. 15), with a = 5.1046 Å, b = 9.3716 Å, c = 5.5473 Å, α = 90.00°, β = 114.66° and γ = 90.00°. Symmetry generates all atoms from Li at (0.0000, 0.0904, 0.2500), Al at (0.0000, 0.2470, 0.7500) and Sn at (0.0000, 0.4154, 0.2500).


13.
The following is a DFT calculation (PBE) of LiAl3Sn after structural relaxation.

The total energy is -0.220 Ry/atom. The value obtained for the polymorph energy (0 for the lowest one) is 0.000 eV per atom.

It has space group Pm-3m (No. 221), with a = 4.6625 Å, b = 4.6625 Å, c = 4.6625 Å, α = 90.00°, β = 90.00° and γ = 90.00°. Symmetry generates all atoms from Li at (0.0000, 0.0000, 0.0000), Al at (0.0000, 0.0000, 0.5000) and Sn at (0.5000, 0.5000, 0.5000).


14.
The following is a DFT calculation (PBE) of Li7AlSn4 after structural relaxation.

The total energy is -0.216 Ry/atom.

It has space group C2/m (No. 12), with a = 13.3722 Å, b = 4.9261 Å, c = 9.9512 Å, α = 90.00°, β = 127.85° and γ = 90.00°. Symmetry generates all atoms from Li at (0.0000, 0.0000, 0.0000), Li at (0.0606, 0.5000, 0.3398), Li at (0.1498, 0.0000, 0.5938), Li at (0.2157, 0.5000, 0.8568), Al at (0.0000, 0.5000, 0.0000), Sn at (0.0708, 0.0000, 0.7949) and Sn at (0.1964, 0.0000, 0.3475).


15.
The following is a DFT calculation (PBE) of LiAlSn after structural relaxation.

The total energy is -0.248 Ry/atom.

It has space group R-3m (No. 166, hexagonal axes), with a = 4.5547 Å, b = 4.5547 Å, c = 22.3428 Å, α = 90.00°, β = 90.00° and γ = 120.00°. Symmetry generates all atoms from Li at (0.0000, 0.0000, 0.0637), Al at (0.0000, 0.0000, 0.3228) and Sn at (0.0000, 0.0000, 0.1959).


16.
The following is a DFT calculation (PBE) of LiAlSn after structural relaxation.

The total energy is -0.242 Ry/atom.

It has space group P1 (No. 1), with a = 6.4825 Å, b = 7.0169 Å, c = 7.0351 Å, α = 113.58°, β = 109.92° and γ = 102.39°. Symmetry generates all atoms from Li at (0.0000, 0.0000, 0.0000), Li at (0.1979, 0.6735, 0.0728), Li at (0.4151, 0.1712, 0.5124), Li at (0.6937, 0.0736, 0.2684), Al at (0.1928, 0.4574, 0.4556), Al at (0.3056, 0.9073, 0.7886), Al at (0.4320, 0.3432, 0.2004), Al at (0.8564, 0.5566, 0.6103), Sn at (0.0930, 0.2243, 0.7190), Sn at (0.5941, 0.8362, 0.5171), Sn at (0.6166, 0.6387, 0.9157) and Sn at (0.7729, 0.3093, 0.0261).


17.
The following is a DFT calculation (PBE) of LiAlSn after structural relaxation.

The total energy is -0.248 Ry/atom.

It has space group P-6m2 (No. 187), with a = 4.5573 Å, b = 4.5573 Å, c = 7.3058 Å, α = 90.00°, β = 90.00° and γ = 120.00°. Symmetry generates all atoms from Li at (0.0000, 0.0000, 0.0000), Li at (0.0000, 0.0000, 0.5000), Al at (0.6667, 0.3333, 0.1830) and Sn at (0.3333, 0.6667, 0.2944).


18.
The following is a DFT calculation (PBE) of Sr2LiAl3Sn4 after structural relaxation.

The total energy is -0.263 Ry/atom.

It has space group P-4m2 (No. 115), with a = 4.8875 Å, b = 4.8875 Å, c = 11.0486 Å, α = 90.00°, β = 90.00° and γ = 90.00°. Symmetry generates all atoms from Sr at (0.0000, 0.5000, 0.2453), Li at (0.5000, 0.5000, 0.0000), Al at (0.0000, 0.0000, 0.0000), Al at (0.0000, 0.5000, 0.6291), Sn at (0.0000, 0.0000, 0.5000), Sn at (0.0000, 0.5000, 0.8714) and Sn at (0.5000, 0.5000, 0.5000).


19.
The following is a DFT calculation (PBE) of LiTmAlSn after structural relaxation.

The total energy is -0.281 Ry/atom.

It has space group F-43m (No. 216), with a = 7.0621 Å, b = 7.0621 Å, c = 7.0621 Å, α = 90.00°, β = 90.00° and γ = 90.00°. Symmetry generates all atoms from Li at (0.0000, 0.0000, 0.0000), Tm at (0.0000, 0.0000, 0.5000), Al at (0.2500, 0.2500, 0.2500) and Sn at (0.2500, 0.2500, 0.7500).


20.
The following is a DFT calculation (PBE) of LiAl2VSn after structural relaxation.

The total energy is -0.249 Ry/atom.

It has space group P4/mmm (No. 123), with a = 5.2248 Å, b = 5.2248 Å, c = 5.0725 Å, α = 90.00°, β = 90.00° and γ = 90.00°. Symmetry generates all atoms from Li at (0.0000, 0.0000, 0.0000), Al at (0.0000, 0.5000, 0.5000), V at (0.5000, 0.5000, 0.0000) and Sn at (0.5000, 0.5000, 0.5000).


21.
The following is a DFT calculation (PBE) of Li2YAlSn2 after structural relaxation.

The total energy is -0.303 Ry/atom.

It has space group Pmc2_1 (No. 26), with a = 4.4372 Å, b = 8.4528 Å, c = 7.3491 Å, α = 90.00°, β = 90.00° and γ = 90.00°. Symmetry generates all atoms from Li at (0.0000, 0.0801, 0.0000), Li at (0.5000, 0.1660, 0.3289), Y at (0.5000, 0.4477, 0.9627), Al at (0.0000, 0.3224, 0.6372), Sn at (0.0000, 0.3534, 0.2474) and Sn at (0.5000, 0.1466, 0.7172).


22.
The following is a DFT calculation (PBE) of SrLiAl after structural relaxation.

The total energy is -0.182 Ry/atom. The value obtained for the polymorph energy (0 for the lowest one) is 0.061 eV per atom.

It has space group I4mm (No. 107), with a = 3.7754 Å, b = 3.7754 Å, c = 11.3878 Å, α = 90.00°, β = 90.00° and γ = 90.00°. Symmetry generates all atoms from Sr at (0.0000, 0.0000, 0.0000), Li at (0.0000, 0.0000, 0.7113) and Al at (0.0000, 0.0000, 0.3080).


23.
The following is a DFT calculation (PBE) of SrLiAl after structural relaxation.

The total energy is -0.187 Ry/atom. The value obtained for the polymorph energy (0 for the lowest one) is 0.000 eV per atom.

It has space group P-3m1 (No. 164), with a = 4.4697 Å, b = 4.4697 Å, c = 9.9315 Å, α = 90.00°, β = 90.00° and γ = 120.00°. Symmetry generates all atoms from Sr at (0.3333, 0.6667, 0.3242), Li at (0.0000, 0.0000, 0.1207) and Al at (0.3333, 0.6667, 0.9529).


24.
The following is a DFT calculation (PBE) of Sr2Li2Al after structural relaxation.

The total energy is -0.166 Ry/atom. The value obtained for the polymorph energy (0 for the lowest one) is 0.000 eV per atom.

It has space group C2/c (No. 15), with a = 10.9261 Å, b = 6.6181 Å, c = 8.7072 Å, α = 90.00°, β = 105.13° and γ = 90.00°. Symmetry generates all atoms from Sr at (0.1556, 0.1161, 0.1491), Li at (0.1064, 0.3930, 0.4867) and Al at (0.0000, 0.3145, 0.7500).


25.
The following is a DFT calculation (PBE) of Sr3LiAl after structural relaxation.

The total energy is -0.145 Ry/atom. The value obtained for the polymorph energy (0 for the lowest one) is 0.216 eV per atom.

It has space group Pm-3m (No. 221), with a = 6.3315 Å, b = 6.3315 Å, c = 6.3315 Å, α = 90.00°, β = 90.00° and γ = 90.00°. Symmetry generates all atoms from Sr at (0.0000, 0.0000, 0.5000), Li at (0.5000, 0.5000, 0.5000) and Al at (0.0000, 0.0000, 0.0000).